Record 1
This record from Alexandria via LeMat-Bulk describes an optimized crystal structure of TbPmPr2Er2. The functional is PBE.

Geometry as POSCAR:
```
TbPmPr2Er2
1.0
5.712 0.000 0.000
0.000 9.905 0.000
0.000 0.000 7.040
Tb Pm Pr Er
2 2 4 4
direct
0.000 0.164 0.000
0.000 0.836 0.500
0.500 0.000 0.250
0.500 0.000 0.750
0.000 0.500 0.249
0.000 0.500 0.749
0.500 0.330 0.499
0.500 0.670 0.999
0.000 0.166 0.500
0.000 0.834 0.000
0.500 0.334 0.999
0.500 0.666 0.499
```

Calculated values
E_form ... 69.5 meV/atom
Fermi-level density of states ... 18.5 states/eV per cell
Total moment ... 0.000 μB/atom
SG ... No. 26

Record 2
This record from Alexandria via LeMat-Bulk describes an optimized crystal structure of BePdN3. The functional is PBE.

Geometry as POSCAR:
```
BePdN3
1.0
3.923 0.000 0.000
0.000 3.923 0.000
0.000 0.000 3.923
Be Pd N
1 1 3
direct
0.000 0.000 0.000
0.500 0.500 0.500
0.000 0.500 0.500
0.500 0.000 0.500
0.500 0.500 0.000
```

Calculated values
Energy relative to the elements, uncorrected ... 2.3010 eV per atom
Fermi-level density of states ... 1.5 states/eV per cell
Total moment ... 0.644 μB/atom
SG ... No. 221

Record 3
This record from Alexandria via LeMat-Bulk describes an optimized crystal structure of TbSm3Pb2. The functional is PBE.

Geometry as POSCAR:
```
TbSm3Pb2
1.0
4.624 0.000 0.000
0.000 4.624 0.000
0.000 0.000 8.787
Tb Sm Pb
1 3 2
direct
0.000 0.000 0.000
0.000 0.500 0.345
0.500 0.000 0.655
0.500 0.500 0.000
0.000 0.500 0.717
0.500 0.000 0.283
```

Calculated values
E_form ... -438.3 meV/atom
Fermi-level density of states ... 5.7 states/eV per cell
Total moment ... 0.000 μB/atom
Excess energy over the best structure of this formula in the dataset ... 0.0 kJ/mol of atoms
SG ... No. 115

Record 4
This record from Alexandria via LeMat-Bulk describes an optimized crystal structure of Sr3MoRh. The functional is PBE.

Geometry as POSCAR:
```
Sr3MoRh
1.0
5.736 0.000 0.000
0.000 5.736 0.000
0.000 0.000 5.736
Sr Mo Rh
3 1 1
direct
0.000 0.000 0.500
0.000 0.500 0.000
0.500 0.000 0.000
0.500 0.500 0.500
0.000 0.000 0.000
```

Calculated values
E_form ... 669.3 meV/atom
Fermi-level density of states ... 4.8 states/eV per cell
Total moment ... 0.897 μB/atom
Excess energy over the best structure of this formula in the dataset ... 0.0 kJ/mol of atoms
SG ... No. 221

Record 5
This record from Alexandria via LeMat-Bulk describes an optimized crystal structure of Al3GaBi. The functional is PBE.

Geometry as POSCAR:
```
Al3GaBi
1.0
4.925 0.000 0.000
0.000 4.925 0.000
0.000 0.000 4.925
Al Ga Bi
3 1 1
direct
0.000 0.000 0.500
0.000 0.500 0.000
0.500 0.000 0.000
0.000 0.000 0.000
0.500 0.500 0.500
```

Calculated values
E_form ... 405.9 meV/atom
Fermi-level density of states ... 2.9 states/eV per cell
Total moment ... 0.000 μB/atom
Excess energy over the best structure of this formula in the dataset ... 0.0 kJ/mol of atoms
SG ... No. 221

Record 6
This record from Alexandria via LeMat-Bulk describes an optimized crystal structure of Li2RuClF. The functional is PBE.

Geometry as POSCAR:
```
Li2RuClF
1.0
4.636 0.000 0.000
0.000 4.636 0.000
0.000 0.000 4.434
Li Ru Cl F
2 1 1 1
direct
0.000 0.500 0.000
0.500 0.000 0.000
0.000 0.000 0.500
0.000 0.000 0.000
0.500 0.500 0.500
```

Calculated values
Energy relative to the elements, uncorrected ... -0.3277 eV per atom
Fermi-level density of states ... 1.9 states/eV per cell
Total moment ... 0.400 μB/atom
Excess energy over the best structure of this formula in the dataset ... 0.0 kJ/mol of atoms
SG ... No. 123

Record 7
This record from Alexandria via LeMat-Bulk describes an optimized crystal structure of AsOs3Br. The functional is PBE.

Geometry as POSCAR:
```
AsOs3Br
1.0
4.639 0.000 0.000
0.000 4.639 0.000
0.000 0.000 4.639
As Os Br
1 3 1
direct
0.000 0.000 0.000
0.000 0.000 0.500
0.000 0.500 0.000
0.500 0.000 0.000
0.500 0.500 0.500
```

Calculated values
Energy relative to the elements, uncorrected ... 2.0911 eV per atom
Fermi-level density of states ... 7.0 states/eV per cell
Total moment ... 0.528 μB/atom
Excess energy over the best structure of this formula in the dataset ... 0.0 kJ/mol of atoms
SG ... No. 221

Record 8
This record from Alexandria via LeMat-Bulk describes an optimized crystal structure of Tb4PmMg7. The functional is PBE.

Geometry as POSCAR:
```
Tb4PmMg7
1.0
5.826 -2.842 0.000
5.826 2.842 0.000
-5.042 0.000 10.374
Tb Pm Mg
4 1 7
direct
0.071 0.071 0.324
0.334 0.334 0.222
0.666 0.666 0.778
0.929 0.929 0.676
0.500 0.500 0.000
0.000 0.000 0.000
0.201 0.201 0.922
0.242 0.242 0.675
0.376 0.376 0.510
0.624 0.624 0.490
0.758 0.758 0.325
0.799 0.799 0.078
```

Calculated values
E_form ... 141.1 meV/atom
Fermi-level density of states ... 13.2 states/eV per cell
Total moment ... 0.000 μB/atom
SG ... No. 12